DFT (PBE-GGA) results for TmThFeRu after structural relaxation.

Cell: 4.8625 4.8625 4.8625 Å, 60.00 60.00 60.00°
With the nearest neighbours (Å) after each atom.
Fractional coordinates of all 4 atoms:
Tm (0.0000, 0.0000, 0.0000)  4 Fe 2.98, 4 Ru 2.98
Th (0.5000, 0.5000, 0.5000)  4 Ru 2.98, 4 Fe 2.98
Fe (0.2500, 0.2500, 0.2500)  4 Th 2.98, 4 Tm 2.98
Ru (0.7500, 0.7500, 0.7500)  4 Th 2.98, 4 Tm 2.98

Values from the calculation:
Formation enthalpy at 0 K = -0.184 eV per atom
Total magnetic moment = 1.4 μB/f.u.
SG = F-43m, No. 216
DFT total energy = -7.59 eV/atom